Entry 1:
# Nd3Lu (PBE-GGA, optimized geometry)
data_Nd3Lu
_chemical_formula_sum 'Nd3 Lu1'
_space_group_name_H-M_alt 'P 1'
_space_group_IT_number 1
_cell_length_a 5.1421
_cell_length_b 5.1421
_cell_length_c 6.2581
_cell_angle_alpha 114.26
_cell_angle_beta 114.26
_cell_angle_gamma 90.00
loop_
_space_group_symop_operation_xyz
'x,y,z'
loop_
_atom_site_label
_atom_site_fract_x
_atom_site_fract_y
_atom_site_fract_z
Lu1 0.0000 0.0000 0.0000
Nd1 0.5000 0.5000 0.0000
Nd2 0.7500 0.2500 0.5000
Nd3 0.2500 0.7500 0.5000
# Fermi-level density of states, states/eV per cell: 5.67
# Crystal system: tetragonal
# Formation energy from the elements, eV/atom: 0.02
# Calculated volume, Å³/f.u.: 134.68
# Energy, eV for the cell shown: -18.8


Entry 2:
# BaBeBr2 (PBE-GGA, optimized geometry)
data_BaBeBr2
_chemical_formula_sum 'Ba1 Be1 Br2'
_space_group_name_H-M_alt 'P 1'
_space_group_IT_number 1
_cell_length_a 4.1720
_cell_length_b 4.1709
_cell_length_c 8.6564
_cell_angle_alpha 61.31
_cell_angle_beta 90.00
_cell_angle_gamma 90.00
loop_
_space_group_symop_operation_xyz
'x,y,z'
loop_
_atom_site_label
_atom_site_fract_x
_atom_site_fract_y
_atom_site_fract_z
Br1 0.0000 0.9781 0.0204
Ba1 0.5000 0.2500 0.2500
Be1 0.5000 0.7500 0.7500
Br2 0.0000 0.5219 0.4796
# Crystal system: monoclinic
# Uncorrected formation energy, eV/atom: -0.632
# Calculated volume, Å³/f.u.: 132.14
# Energy, eV for the cell shown: -11.5